# RbMo3Ru GGA-PBE optimized geometry
# - formation energy from the elements (meV per atom) = 3431
# - E_tot (eV/cell) = -25.58
# - polymorph energy (0 for the lowest one) (eV/f.u.) = 8.20
# - magnetic moment (μB per atom) = 0.287
data_RbMo3Ru
_symmetry_space_group_name_H-M 'P m -3 m'
_symmetry_Int_Tables_number 221
_symmetry_space_group_name_Hall '-P 4 2 3'
_cell_length_a 4.598
_cell_length_b 4.598
_cell_length_c 4.598
_cell_angle_alpha 90.00
_cell_angle_beta 90.00
_cell_angle_gamma 90.00
loop_
_atom_site_label
_atom_site_fract_x
_atom_site_fract_y
_atom_site_fract_z
Rb1 0.000 0.000 0.000
Mo1 0.000 0.000 0.500
Ru1 0.500 0.500 0.500